Li2La2ZrIn5: relaxed, PBE.

Output
SG: P4/mbm, No. 127
E_tot in eV per cell: -78.59

```
Li2La2ZrIn5
1.0
-1.019 1.917 -2.843
-4.364 -9.579 -4.895
-10.236 2.073 5.069
Li La Zr In
4 4 2 10
direct
0.000 0.124 0.624
0.000 0.876 0.376
0.000 0.624 0.876
0.000 0.376 0.124
0.000 0.677 0.177
0.000 0.323 0.823
0.000 0.177 0.323
0.000 0.823 0.677
0.000 0.000 0.000
0.000 0.500 0.500
0.500 0.208 0.059
0.500 0.792 0.941
0.500 0.059 0.792
0.500 0.708 0.441
0.500 0.941 0.208
0.500 0.292 0.559
0.500 0.559 0.708
0.500 0.441 0.292
0.500 0.500 0.000
0.500 0.000 0.500
```

***

PuFeRu: relaxed, PBE.

Output
SG: Imma, No. 74
E_tot in eV per cell: -64.21

```
PuFeRu
1.0
-2.273 4.075 -0.507
-5.134 -0.297 -1.097
-3.253 1.374 3.896
Pu Fe Ru
2 2 2
direct
0.874 0.376 0.376
0.126 0.624 0.624
0.000 0.000 0.000
0.500 0.000 0.000
0.500 0.500 0.000
0.500 0.000 0.500
```